DFT (PBE with a Hubbard U) results for a relaxed structure of GaCoSnO4.

As for the total energy: -5.920 eV/atom. As for the symmetry: No. 74.

```
GaCoSnO4
1.0
-4.660 -2.104 -3.082
0.497 -0.551 -6.157
0.323 -5.726 -2.361
Ga Co Sn O
2 2 2 8
direct
0.641 0.609 0.109
0.359 0.391 0.891
0.500 0.000 0.500
0.000 0.000 0.500
0.000 0.000 0.000
0.000 0.500 0.500
0.759 0.742 0.741
0.241 0.759 0.758
0.759 0.241 0.242
0.241 0.258 0.259
0.247 0.746 0.246
0.760 0.746 0.246
0.240 0.254 0.754
0.753 0.254 0.754
```